! Ti4Be2In5 PBE optimized geometry; values from VASP
&SYSTEM
  ibrav = 0, nat = 11, ntyp = 3
/
ATOMIC_SPECIES
Ti 47.87 Ti.upf
In 114.82 In.upf
Be 9.01 Be.upf
CELL_PARAMETERS angstrom
3.078 0.000 0.000
0.000 7.214 -0.670
0.000 -0.173 8.880
ATOMIC_POSITIONS crystal
Ti 0.500 0.815 0.160
Ti 0.500 0.207 0.432
Ti 0.500 0.185 0.840
Ti 0.500 0.793 0.568
In 0.000 0.450 0.664
In 0.000 0.153 0.144
In 0.000 0.550 0.336
In 0.000 0.847 0.856
In 0.000 0.500 0.000
Be 0.000 0.926 0.386
Be 0.000 0.074 0.614
! Formation energy   -0.1207 eV per atom
! Symmetry   P2/m, No. 10
! D(E_F)   4.6 states/eV/cell

---

! Cr2FeAg PBE optimized geometry; values from VASP
&SYSTEM
  ibrav = 0, nat = 4, ntyp = 3
/
ATOMIC_SPECIES
Cr 52.00 Cr.upf
Fe 55.84 Fe.upf
Ag 107.87 Ag.upf
CELL_PARAMETERS angstrom
-1.353 1.745 1.855
1.462 -1.169 2.167
6.241 3.369 1.383
ATOMIC_POSITIONS crystal
Cr 0.000 0.956 0.044
Cr 0.500 0.249 0.251
Fe 0.000 0.539 0.461
Ag 0.500 0.756 0.744
! Formation energy   0.3555 eV per atom
! Energy above the most stable polymorph in this dataset   0.016 eV per atom
! Symmetry   Pmm2, No. 25
! D(E_F)   3.1 states/eV/cell

---

! ScFeNi3 PBE optimized geometry; values from VASP
&SYSTEM
  ibrav = 0, nat = 5, ntyp = 3
/
ATOMIC_SPECIES
Fe 55.84 Fe.upf
Ni 58.69 Ni.upf
Sc 44.96 Sc.upf
CELL_PARAMETERS angstrom
-2.758 1.808 -2.753
-0.344 -3.729 -2.104
-3.275 -1.130 2.539
ATOMIC_POSITIONS crystal
Fe 0.000 0.000 0.000
Ni 0.500 0.000 0.000
Ni 0.000 0.500 0.000
Ni 0.000 0.000 0.500
Sc 0.500 0.500 0.500
! Formation energy   0.4354 eV per atom
! Energy above the most stable polymorph in this dataset   0.588 eV per atom
! Symmetry   Pm-3m, No. 221
! D(E_F)   5.6 states/eV/cell

---

! ZnInRu3 PBE optimized geometry; values from VASP
&SYSTEM
  ibrav = 0, nat = 5, ntyp = 3
/
ATOMIC_SPECIES
Zn 65.41 Zn.upf
Ru 101.07 Ru.upf
In 114.82 In.upf
CELL_PARAMETERS angstrom
4.564 0.000 0.000
0.000 4.564 0.000
0.000 0.000 4.564
ATOMIC_POSITIONS crystal
Zn 0.000 0.000 0.000
Ru 0.500 0.000 0.000
Ru 0.000 0.000 0.500
Ru 0.000 0.500 0.000
In 0.500 0.500 0.500
! Formation energy   1.2519 eV per atom
! Energy above the most stable polymorph in this dataset   0.000 eV per atom
! Symmetry   Pm-3m, No. 221
! D(E_F)   4.8 states/eV/cell

---

! YSc2GaAs PBE optimized geometry; values from VASP
&SYSTEM
  ibrav = 0, nat = 5, ntyp = 4
/
ATOMIC_SPECIES
Ga 69.72 Ga.upf
Sc 44.96 Sc.upf
Y 88.91 Y.upf
As 74.92 As.upf
CELL_PARAMETERS angstrom
-2.672 -4.665 0.163
2.931 -1.536 4.118
-3.589 2.173 3.365
ATOMIC_POSITIONS crystal
Ga 0.500 0.500 0.500
Sc 0.000 0.000 0.500
Sc 0.500 0.000 0.000
Y 0.000 0.000 0.000
As 0.000 0.500 0.000
! Formation energy   0.7273 eV per atom
! Symmetry   P4/mmm, No. 123
! D(E_F)   4.8 states/eV/cell

---

! YZn2HPt PBE optimized geometry; values from VASP
&SYSTEM
  ibrav = 0, nat = 5, ntyp = 4
/
ATOMIC_SPECIES
Zn 65.41 Zn.upf
H 1.01 H.upf
Y 88.91 Y.upf
Pt 195.08 Pt.upf
CELL_PARAMETERS angstrom
-3.975 -2.499 -1.065
2.960 -3.672 -2.435
0.410 -2.417 4.143
ATOMIC_POSITIONS crystal
Zn 0.000 0.000 0.500
Zn 0.500 0.000 0.000
H 0.500 0.500 0.500
Y 0.000 0.500 0.000
Pt 0.000 0.000 0.000
! Symmetry   P4/mmm, No. 123
! D(E_F)   2.3 states/eV/cell
! Raw total energy   -18.1 eV per cell

---

! SrErMgTl PBE optimized geometry; values from VASP
&SYSTEM
  ibrav = 0, nat = 4, ntyp = 4
/
ATOMIC_SPECIES
Er 167.26 Er.upf
Tl 204.38 Tl.upf
Mg 24.30 Mg.upf
Sr 87.62 Sr.upf
CELL_PARAMETERS angstrom
5.549 0.000 0.000
2.774 4.805 0.000
2.774 1.602 4.530
ATOMIC_POSITIONS crystal
Er 0.250 0.250 0.250
Tl 0.500 0.500 0.500
Mg 0.000 0.000 0.000
Sr 0.750 0.750 0.750
! Formation energy   -0.1755 eV per atom
! Symmetry   F-43m, No. 216
! D(E_F)   2.3 states/eV/cell

---

! AcEr2Pu PBE optimized geometry; values from VASP
&SYSTEM
  ibrav = 0, nat = 4, ntyp = 3
/
ATOMIC_SPECIES
Er 167.26 Er.upf
Ac 227.00 Ac.upf
Pu 244.00 Pu.upf
CELL_PARAMETERS angstrom
-2.379 -2.649 0.818
0.401 -1.396 -3.352
7.448 -5.683 3.258
ATOMIC_POSITIONS crystal
Er 0.000 0.000 0.772
Er 0.000 0.000 0.228
Ac 0.500 0.500 0.500
Pu 0.500 0.500 0.000
! Formation energy   0.1455 eV per atom
! Energy above the most stable polymorph in this dataset   0.000 eV per atom
! Symmetry   P4/mmm, No. 123
! D(E_F)   10.8 states/eV/cell

---

Number 1: density 6.6 g/cm3. Number 2: density 8.1 g/cm3. Number 3: density 5.8 g/cm3. Number 4: density 8.4 g/cm3. Number 5: density 3.5 g/cm3. Number 6: density 5.6 g/cm3. Number 7: density 6.6 g/cm3. Number 8: density 10.1 g/cm3.